A plane-wave DFT calculation with PBE with a Hubbard U was carried out for a geometry-optimized CdCo3O structure.

Lattice parameters (Å, degrees): 4.873 4.873 4.873 90.00 90.00 90.00
Space group Pm-3m (No. 221)
Unique sites:
Cd  0.000  0.000  0.000 [1 per cell]
Co  0.000  0.000  0.500 [3 per cell]
O  0.500  0.500  0.500 [1 per cell]

Summary:
The total energy is -2.471 eV/atom. The value obtained for the volume is 116 Å³ per cell. For the total magnetization, the calculation gives 5.53 Bohr magnetons per cell.